(1)
The following is a PBE calculation of a relaxed RbZrTl2I8 crystal, from Alexandria via LeMat-Bulk.

CIF file:
```
data_RbZrTl2I8
_cell_length_a 6.7382
_cell_length_b 8.2022
_cell_length_c 10.0869
_cell_angle_alpha 89.44
_cell_angle_beta 73.02
_cell_angle_gamma 86.19
_space_group_name_H-M_alt 'P -1'
_space_group_IT_number 2
_space_group_name_Hall '-P 1'
loop_
_atom_site_label
_atom_site_fract_x
_atom_site_fract_y
_atom_site_fract_z
Rb1 0.0000 0.0000 0.0000
Zr1 0.0000 0.0000 0.5000
Tl1 0.3411 0.5479 0.3151
I1 0.1702 0.2676 0.6050
I2 0.2045 0.7722 0.6414
I3 0.2469 0.4986 0.0002
I4 0.3495 0.9704 0.2496
```

Summary:
Total magnetic moment   0.000 μB per atom
Formation energy (no corrections)   -961 kJ/mol of formula units



(2)
The following is a PBE calculation of a relaxed RbTmI3 crystal, from Alexandria via LeMat-Bulk.

CIF file:
```
data_RbTmI3
_cell_length_a 8.5430
_cell_length_b 11.9615
_cell_length_c 8.2326
_cell_angle_alpha 90.00
_cell_angle_beta 90.00
_cell_angle_gamma 90.00
_space_group_name_H-M_alt 'P n m a'
_space_group_IT_number 62
_space_group_name_Hall '-P 2ac 2n'
loop_
_atom_site_label
_atom_site_fract_x
_atom_site_fract_y
_atom_site_fract_z
Rb1 0.0598 0.2500 0.0226
Tm1 0.0000 0.0000 0.5000
I1 0.0029 0.7500 0.4483
I2 0.2098 0.5252 0.7928
```

Summary:
Offset from the most stable computed form   97.4 meV per atom
Total magnetic moment   0.000 μB per atom
Formation energy (no corrections)   -556 kJ/mol of formula units



(3)
The following is a PBE calculation of a relaxed RbTmI4 crystal, from Alexandria via LeMat-Bulk.

CIF file:
```
data_RbTmI4
_cell_length_a 7.5580
_cell_length_b 8.3764
_cell_length_c 9.8342
_cell_angle_alpha 76.66
_cell_angle_beta 67.45
_cell_angle_gamma 89.99
_space_group_name_H-M_alt 'P -1'
_space_group_IT_number 2
_space_group_name_Hall '-P 1'
loop_
_atom_site_label
_atom_site_fract_x
_atom_site_fract_y
_atom_site_fract_z
Rb1 0.1948 0.2503 0.4994
Tm1 0.0000 0.5000 0.0000
Tm2 0.5000 0.0000 0.0000
I1 0.1258 0.1650 0.1177
I2 0.2567 0.6650 0.1177
I3 0.2981 0.5486 0.6949
I4 0.4937 0.9514 0.3050
```

Summary:
Offset from the most stable computed form   46.1 meV per atom
Total magnetic moment   0.000 μB per atom
Formation energy (no corrections)   -793 kJ/mol of formula units



(4)
The following is a PBE calculation of a relaxed RbTmI3 crystal, from Alexandria via LeMat-Bulk.

CIF file:
```
data_RbTmI3
_cell_length_a 10.2735
_cell_length_b 4.2941
_cell_length_c 18.0404
_cell_angle_alpha 90.00
_cell_angle_beta 90.00
_cell_angle_gamma 90.00
_space_group_name_H-M_alt 'P n m a'
_space_group_IT_number 62
_space_group_name_Hall '-P 2ac 2n'
loop_
_atom_site_label
_atom_site_fract_x
_atom_site_fract_y
_atom_site_fract_z
Rb1 0.0613 0.2500 0.1722
Tm1 0.1207 0.7500 0.4561
I1 0.0529 0.7500 0.6223
I2 0.1751 0.7500 0.0006
I3 0.2379 0.2500 0.8038
```

Summary:
Offset from the most stable computed form   0.0 meV per atom
Total magnetic moment   0.201 μB per atom
Formation energy (no corrections)   -603 kJ/mol of formula units



(5)
The following is a PBE calculation of a relaxed RbTmI2 crystal, from Alexandria via LeMat-Bulk.

CIF file:
```
data_RbTmI2
_cell_length_a 4.1973
_cell_length_b 4.1973
_cell_length_c 35.5934
_cell_angle_alpha 90.00
_cell_angle_beta 90.00
_cell_angle_gamma 120.00
_space_group_name_H-M_alt 'R -3 m'
_space_group_IT_number 166
_space_group_name_Hall '-R 3 2"'
loop_
_atom_site_label
_atom_site_fract_x
_atom_site_fract_y
_atom_site_fract_z
Rb1 0.0000 0.0000 0.0000
Tm1 0.0000 0.0000 0.5000
I1 0.0000 0.0000 0.1137
```

Summary:
Total magnetic moment   0.000 μB per atom
Formation energy (no corrections)   -301 kJ/mol of formula units



(6)
The following is a PBE calculation of a relaxed Rb5Tm3I12 crystal, from Alexandria via LeMat-Bulk.

CIF file:
```
data_Rb5Tm3I12
_cell_length_a 15.1379
_cell_length_b 15.1379
_cell_length_c 4.5816
_cell_angle_alpha 90.00
_cell_angle_beta 90.00
_cell_angle_gamma 120.00
_space_group_name_H-M_alt 'P -6 2 m'
_space_group_IT_number 189
_space_group_name_Hall 'P -6 -2'
loop_
_atom_site_label
_atom_site_fract_x
_atom_site_fract_y
_atom_site_fract_z
Rb1 0.0000 0.7189 0.0000
Rb2 0.3333 0.6667 0.0000
Tm1 0.0000 0.3281 0.5000
I1 0.0000 0.1897 0.0000
I2 0.0000 0.4637 0.0000
I3 0.2104 0.7682 0.5000
```

Summary:
Total magnetic moment   0.065 μB per atom
Formation energy (no corrections)   -2573 kJ/mol of formula units